Computed, not measured: Nd3InAu4 after structural relaxation at the GGA-PBE level of DFT.

a = 3.9832 Å, b = 7.2718 Å, c = 14.8653 Å
α = 90.00°, β = 90.00°, γ = 90.00°
Last column: nearest neighbours and their distance in Å.
Space group Immm (No. 71)
One atom of each set of equivalent atoms:
Nd  0.0000  0.0000  0.0000 (multiplicity 2)  8 Au 3.14
Nd  0.0000  0.5000  0.1878 (multiplicity 4)  6 Au 3.05-3.09
In  0.0000  0.0000  0.5000 (multiplicity 2)  4 Au 2.94
Au  0.0000  0.3027  0.3688 (multiplicity 8)  1 Au 2.87, 1 In 2.94, 5 Nd 3.05-3.14

Calculated values
Theoretical density (Mg/m³): 10.30
DFT formation energy (eV per atom): -0.64
E (eV/atom): -4.41